(1)
First-principles (PBE) data for a relaxed PrInAgPb crystal, as listed in Alexandria via LeMat-Bulk.

Cell and atoms, written as extended XYZ:
```
4
Lattice="-0.436 4.468 1.178 -3.636 0.394 -2.843 -2.982 -1.251 3.640" Properties=species:S:1:pos:R:3 pbc="T T T"
Ag -2.036 2.431 -0.833
Pr -1.709 1.608 2.409
In 0.000 0.000 0.000
Pb -3.309 -0.428 0.399
```

Properties
E_form (eV per atom): -0.35
Symmetry: Pmmm, No. 47
Volume (Å³ per atom): 26.17
N(E_F) (states/eV/cell): 2.31

(2)
First-principles (PBE) data for a relaxed LaNdSbCl crystal, as listed in Alexandria via LeMat-Bulk.

Cell and atoms, written as extended XYZ:
```
4
Lattice="5.390 0.000 0.000 2.695 4.668 0.000 2.695 1.556 4.401" Properties=species:S:1:pos:R:3 pbc="T T T"
Cl 0.000 0.000 0.000
La 8.085 4.668 3.301
Nd 2.695 1.556 1.100
Sb 5.390 3.112 2.200
```

Properties
Symmetry: F-43m, No. 216
Formation energy from raw total energies (meV per atom): -1267.6
Volume (Å³ per atom): 27.68
N(E_F) (states/eV/cell): 3.75

(3)
First-principles (PBE) data for a relaxed CsTcMo2 crystal, as listed in Alexandria via LeMat-Bulk.

Cell and atoms, written as extended XYZ:
```
8
Lattice="-0.271 -5.237 0.117 4.941 -0.294 -1.735 5.114 -2.732 7.097" Properties=species:S:1:pos:R:3 pbc="T T T"
Mo 6.692 -6.816 4.339
Mo 1.794 -2.690 1.601
Mo 4.265 -2.825 0.734
Mo 6.816 -4.197 4.284
Cs 0.000 0.000 0.000
Cs 3.589 -5.367 3.203
Tc 2.335 -2.766 -0.809
Tc 6.195 -2.896 2.276
```

Properties
E_form (eV per atom): 1.86
Symmetry: I-42d, No. 122
Volume (Å³ per atom): 28.82
N(E_F) (states/eV/cell): 8.79

(4)
First-principles (PBE) data for a relaxed PrNd9Y2 crystal, as listed in Alexandria via LeMat-Bulk.

Cell and atoms, written as extended XYZ:
```
12
Lattice="-0.915 4.135 2.991 -4.300 1.012 -2.714 -8.243 -8.875 9.750" Properties=species:S:1:pos:R:3 pbc="T T T"
Nd -7.312 -5.313 9.603
Nd -5.369 -0.400 3.405
Nd -6.271 -3.932 3.518
Nd -1.846 0.573 3.137
Nd -2.608 2.573 0.138
Nd -4.579 -2.370 6.370
Nd -8.088 -3.328 6.621
Nd -9.004 -6.875 6.750
Nd -3.538 -0.989 0.285
Y -5.485 -5.906 6.488
Y -2.757 -2.969 3.261
Pr 0.000 0.000 0.000
```

Properties
E_form (eV per atom): 0.01
Symmetry: P4/mmm, No. 123
Volume (Å³ per atom): 34.83
N(E_F) (states/eV/cell): 20.18